Arrangement A

A geometry-optimized SiAsHC structure. Source: Alexandria, functional PBE.

Cell lengths 3.0722, 3.0722, 7.2606 Å; angles 99.31, 99.31, 59.98 degrees
Last column: nearest neighbours and their distance in Å.
Sites, in units of the cell vectors:
Si 0.0000 0.0000 0.0000  1 H 1.50
As 0.5734 0.5734 0.6341  1 C 2.00
H 0.0537 0.0537 0.2110  1 Si 1.50
C 0.6450 0.6450 0.9145  3 Si 1.88, 1 As 2.00

Calculated values
D(E_F) (states/eV/f.u.): 0.6
SG: Cm

Arrangement B

A geometry-optimized SiAsHC structure. Source: Alexandria, functional PBE.

Cell lengths 3.0709, 3.1255, 5.7012 Å; angles 90.00, 90.00, 90.00 degrees
Last column: nearest neighbours and their distance in Å.
Sites, in units of the cell vectors:
Si 0.0000 0.0000 0.0000  2 H 1.72, 2 C 1.87
As 0.5000 0.5000 0.4136  2 C 2.03
H 0.0000 0.5000 0.8747  2 Si 1.72
C 0.5000 0.0000 0.1874  2 Si 1.87, 2 As 2.03

Calculated values
D(E_F) (states/eV/f.u.): 1.0
SG: Pmm2

Which of them is the least stable? Correct choice: arrangement B.

Arrangement A

A geometry-optimized HfAsC3 structure. Source: Alexandria, functional PBE.

Cell lengths 3.8683, 3.8683, 3.8683 Å; angles 90.00, 90.00, 90.00 degrees
Last column: nearest neighbours and their distance in Å.
Sites, in units of the cell vectors:
Hf 0.0000 0.0000 0.0000  12 C 2.74
As 0.5000 0.5000 0.5000  6 C 1.93
C 0.0000 0.5000 0.5000  2 As 1.93
C 0.5000 0.0000 0.5000  2 As 1.93
C 0.5000 0.5000 0.0000  2 As 1.93

Calculated values
D(E_F) (states/eV/f.u.): 3.0
SG: Pm-3m

Arrangement B

A geometry-optimized HfAsC3 structure. Source: Alexandria, functional PBE.

Cell lengths 4.3046, 4.3046, 4.3046 Å; angles 90.00, 90.00, 90.00 degrees
Last column: nearest neighbours and their distance in Å.
Sites, in units of the cell vectors:
Hf 0.0000 0.0000 0.0000  6 C 2.15
As 0.5000 0.5000 0.5000  12 C 3.04
C 0.0000 0.0000 0.5000  2 Hf 2.15
C 0.0000 0.5000 0.0000  2 Hf 2.15
C 0.5000 0.0000 0.0000  2 Hf 2.15

Calculated values
D(E_F) (states/eV/f.u.): 2.8
SG: Pm-3m

Which of them is the least stable? Correct choice: arrangement B.